A relaxed NiOsCl2 crystal. Source: the Alexandria database, functional GGA-PBE.

The energy comes out at -0.163 Ha/atom. As for the formation energy from raw total energies: 0.7503 eV per atom. As for the distance to the lowest polymorph of the same formula: 0.544 eV/atom. Its space-group type is Cmmm, No. 65. Its density is 8.673 g/cm³.

POSCAR file:
```
NiOsCl2
1.0
1.433 -2.719 0.000
1.433 2.719 0.000
0.000 0.000 7.859
Ni Os Cl
1 1 2
direct
0.000 0.000 0.000
0.000 0.000 0.500
0.500 0.500 0.242
0.500 0.500 0.758
```

A relaxed FeOs3 crystal. Source: the Alexandria database, functional GGA-PBE.

The energy comes out at -0.381 Ha/atom. Its energy of formation from the pure elements is 172 meV per atom. Its space-group type is P4/mmm, No. 123. Its density is 19.313 g/cm³.

POSCAR file:
```
FeOs3
1.0
2.690 0.000 0.000
0.000 2.690 0.000
0.000 0.000 7.446
Fe Os
1 3
direct
0.000 0.000 0.000
0.000 0.000 0.500
0.500 0.500 0.238
0.500 0.500 0.762
```

A relaxed Pu5Te6 crystal. Source: the Alexandria database, functional GGA-PBE.

The energy comes out at -0.337 Ha/atom. As for the formation energy from raw total energies: -0.9493 eV per atom. Its space-group type is P-31m, No. 162. Its density is 8.550 g/cm³.

POSCAR file:
```
Pu5Te6
1.0
7.665 0.000 0.000
-3.833 6.638 0.000
0.000 0.000 7.577
Pu Te
5 6
direct
0.000 0.000 0.000
0.333 0.667 0.000
0.333 0.667 0.500
0.667 0.333 0.000
0.667 0.333 0.500
0.000 0.338 0.751
0.000 0.662 0.249
0.338 0.000 0.751
0.338 0.338 0.249
0.662 0.000 0.249
0.662 0.662 0.751
```

A relaxed AcEuGe2 crystal. Source: the Alexandria database, functional GGA-PBE.

The energy comes out at -0.237 Ha/atom. Its energy of formation from the pure elements is -543 meV per atom. Its space-group type is P4/mmm, No. 123. Its density is 8.020 g/cm³.

POSCAR file:
```
AcEuGe2
1.0
3.980 0.000 0.000
0.000 3.980 0.000
0.000 0.000 6.854
Ac Eu Ge
1 1 2
direct
0.000 0.000 0.000
0.000 0.000 0.500
0.500 0.500 0.290
0.500 0.500 0.710
```